# 1
# ErTh2Cd (PBE-GGA, optimized geometry)
data_ErTh2Cd
_symmetry_space_group_name_H-M 'P 1'
_symmetry_Int_Tables_number 1
_cell_length_a 5.7177
_cell_length_b 5.7177
_cell_length_c 3.6377
_cell_angle_alpha 90.00
_cell_angle_beta 90.00
_cell_angle_gamma 90.00
loop_
_symmetry_equiv_pos_as_xyz
'x,y,z'
loop_
_atom_site_label
_atom_site_type_symbol
_atom_site_fract_x
_atom_site_fract_y
_atom_site_fract_z
_atom_site_occupancy
Er1 Er 0.0000 0.0000 0.0000 1
Th1 Th 0.0000 0.5000 0.5000 1
Th2 Th 0.5000 0.0000 0.5000 1
Cd1 Cd 0.5000 0.5000 0.0000 1
# * energy above the lowest structure with this stoichiometry: 35.3 meV per atom
# * DOS at the Fermi energy: 1.267 states/eV/atom
# * ΔH_f (0 K): 0.04 eV/atom

# 2
# RbAlTe2I (PBE-GGA, optimized geometry)
data_RbAlTe2I
_symmetry_space_group_name_H-M 'P 1'
_symmetry_Int_Tables_number 1
_cell_length_a 6.6789
_cell_length_b 6.6789
_cell_length_c 6.7163
_cell_angle_alpha 90.00
_cell_angle_beta 90.00
_cell_angle_gamma 90.00
loop_
_symmetry_equiv_pos_as_xyz
'x,y,z'
loop_
_atom_site_label
_atom_site_type_symbol
_atom_site_fract_x
_atom_site_fract_y
_atom_site_fract_z
_atom_site_occupancy
Rb1 Rb 0.0000 0.0000 0.0000 1
Al1 Al 0.5000 0.5000 0.5000 1
Te1 Te 0.0000 0.5000 0.0000 1
Te2 Te 0.5000 0.0000 0.0000 1
I1 I 0.0000 0.0000 0.5000 1
# * raw formation energy: 639 meV/atom
# * energy above the lowest structure with this stoichiometry: 1104.0 meV per atom
# * DOS at the Fermi energy: 1.333 states/eV/atom

# 3
# NaOsRuCl2 (PBE-GGA, optimized geometry)
data_NaOsRuCl2
_symmetry_space_group_name_H-M 'P 1'
_symmetry_Int_Tables_number 1
_cell_length_a 4.9655
_cell_length_b 4.9655
_cell_length_c 4.7193
_cell_angle_alpha 90.00
_cell_angle_beta 90.00
_cell_angle_gamma 90.00
loop_
_symmetry_equiv_pos_as_xyz
'x,y,z'
loop_
_atom_site_label
_atom_site_type_symbol
_atom_site_fract_x
_atom_site_fract_y
_atom_site_fract_z
_atom_site_occupancy
Na1 Na 0.0000 0.0000 0.0000 1
Os1 Os 0.5000 0.5000 0.0000 1
Ru1 Ru 0.5000 0.5000 0.5000 1
Cl1 Cl 0.0000 0.5000 0.5000 1
Cl2 Cl 0.5000 0.0000 0.5000 1
# * raw formation energy: 593 meV/atom
# * DOS at the Fermi energy: 1.042 states/eV/atom

# 4
# Zr2Al2Se7 (PBE-GGA, optimized geometry)
data_Zr2Al2Se7
_symmetry_space_group_name_H-M 'P 1'
_symmetry_Int_Tables_number 1
_cell_length_a 7.0094
_cell_length_b 7.0094
_cell_length_c 6.6270
_cell_angle_alpha 98.21
_cell_angle_beta 98.21
_cell_angle_gamma 104.39
loop_
_symmetry_equiv_pos_as_xyz
'x,y,z'
loop_
_atom_site_label
_atom_site_type_symbol
_atom_site_fract_x
_atom_site_fract_y
_atom_site_fract_z
_atom_site_occupancy
Zr1 Zr 0.1863 0.8137 0.0000 1
Zr2 Zr 0.8137 0.1863 0.0000 1
Al1 Al 0.2667 0.2667 0.6090 1
Al2 Al 0.7333 0.7333 0.3910 1
Se1 Se 0.0572 0.4313 0.7856 1
Se2 Se 0.0826 0.0826 0.2600 1
Se3 Se 0.4313 0.0572 0.7856 1
Se4 Se 0.5000 0.5000 0.5000 1
Se5 Se 0.5687 0.9428 0.2144 1
Se6 Se 0.9174 0.9174 0.7400 1
Se7 Se 0.9428 0.5687 0.2144 1
# * raw formation energy: -889 meV/atom

# 5
# CrPBr (PBE-GGA, optimized geometry)
data_CrPBr
_symmetry_space_group_name_H-M 'P 1'
_symmetry_Int_Tables_number 1
_cell_length_a 3.5892
_cell_length_b 3.5892
_cell_length_c 6.2468
_cell_angle_alpha 90.00
_cell_angle_beta 90.00
_cell_angle_gamma 120.00
loop_
_symmetry_equiv_pos_as_xyz
'x,y,z'
loop_
_atom_site_label
_atom_site_type_symbol
_atom_site_fract_x
_atom_site_fract_y
_atom_site_fract_z
_atom_site_occupancy
Cr1 Cr 0.0000 0.0000 0.0000 1
P1 P 0.6667 0.3333 0.1559 1
Br1 Br 0.3333 0.6667 0.7266 1
# * raw formation energy: -196 meV/atom
# * energy above the lowest structure with this stoichiometry: 0.0 meV per atom

# 6
# Sm4InAg2Ru (PBE-GGA, optimized geometry)
data_Sm4InAg2Ru
_symmetry_space_group_name_H-M 'P 1'
_symmetry_Int_Tables_number 1
_cell_length_a 8.9558
_cell_length_b 8.9558
_cell_length_c 8.9558
_cell_angle_alpha 33.96
_cell_angle_beta 33.96
_cell_angle_gamma 33.96
loop_
_symmetry_equiv_pos_as_xyz
'x,y,z'
loop_
_atom_site_label
_atom_site_type_symbol
_atom_site_fract_x
_atom_site_fract_y
_atom_site_fract_z
_atom_site_occupancy
Sm1 Sm 0.1128 0.1128 0.1128 1
Sm2 Sm 0.3666 0.3666 0.3666 1
Sm3 Sm 0.6334 0.6334 0.6334 1
Sm4 Sm 0.8872 0.8872 0.8872 1
In1 In 0.5000 0.5000 0.5000 1
Ag1 Ag 0.2392 0.2392 0.2392 1
Ag2 Ag 0.7608 0.7608 0.7608 1
Ru1 Ru 0.0000 0.0000 0.0000 1
# * DOS at the Fermi energy: 0.539 states/eV/atom
# * ΔH_f (0 K): -0.36 eV/atom

# 7
# NdSnPt2 (PBE-GGA, optimized geometry)
data_NdSnPt2
_symmetry_space_group_name_H-M 'P 1'
_symmetry_Int_Tables_number 1
_cell_length_a 3.5838
_cell_length_b 3.5838
_cell_length_c 6.6767
_cell_angle_alpha 90.00
_cell_angle_beta 90.00
_cell_angle_gamma 90.00
loop_
_symmetry_equiv_pos_as_xyz
'x,y,z'
loop_
_atom_site_label
_atom_site_type_symbol
_atom_site_fract_x
_atom_site_fract_y
_atom_site_fract_z
_atom_site_occupancy
Nd1 Nd 0.0000 0.0000 0.0000 1
Sn1 Sn 0.0000 0.0000 0.5000 1
Pt1 Pt 0.5000 0.5000 0.2739 1
Pt2 Pt 0.5000 0.5000 0.7261 1
# * DOS at the Fermi energy: 0.661 states/eV/atom
# * ΔH_f (0 K): -0.71 eV/atom

# 8
# KAgSe4 (PBE-GGA, optimized geometry)
data_KAgSe4
_symmetry_space_group_name_H-M 'P 1'
_symmetry_Int_Tables_number 1
_cell_length_a 5.9044
_cell_length_b 5.9044
_cell_length_c 5.9044
_cell_angle_alpha 60.00
_cell_angle_beta 60.00
_cell_angle_gamma 60.00
loop_
_symmetry_equiv_pos_as_xyz
'x,y,z'
loop_
_atom_site_label
_atom_site_type_symbol
_atom_site_fract_x
_atom_site_fract_y
_atom_site_fract_z
_atom_site_occupancy
K1 K 0.0000 0.0000 0.0000 1
Ag1 Ag 0.2500 0.2500 0.2500 1
Se1 Se 0.1271 0.6243 0.6243 1
Se2 Se 0.6243 0.1271 0.6243 1
Se3 Se 0.6243 0.6243 0.1271 1
Se4 Se 0.6243 0.6243 0.6243 1
# * raw formation energy: 54 meV/atom
# * energy above the lowest structure with this stoichiometry: 318.0 meV per atom
# * DOS at the Fermi energy: 0.185 states/eV/atom

# 9
# DyMgZr (PBE-GGA, optimized geometry)
data_DyMgZr
_symmetry_space_group_name_H-M 'P 1'
_symmetry_Int_Tables_number 1
_cell_length_a 4.3880
_cell_length_b 10.3077
_cell_length_c 3.4543
_cell_angle_alpha 90.00
_cell_angle_beta 90.00
_cell_angle_gamma 90.00
loop_
_symmetry_equiv_pos_as_xyz
'x,y,z'
loop_
_atom_site_label
_atom_site_type_symbol
_atom_site_fract_x
_atom_site_fract_y
_atom_site_fract_z
_atom_site_occupancy
Dy1 Dy 0.0000 0.2455 0.0000 1
Dy2 Dy 0.5000 0.7545 0.5000 1
Mg1 Mg 0.0000 0.5757 0.0027 1
Mg2 Mg 0.5000 0.4243 0.5027 1
Zr1 Zr 0.0000 0.9318 0.9992 1
Zr2 Zr 0.5000 0.0682 0.4992 1
# * energy above the lowest structure with this stoichiometry: 12.2 meV per atom
# * DOS at the Fermi energy: 0.873 states/eV/atom
# * ΔH_f (0 K): 0.01 eV/atom

# 10
# LiCu2Pb (PBE-GGA, optimized geometry)
data_LiCu2Pb
_symmetry_space_group_name_H-M 'P 1'
_symmetry_Int_Tables_number 1
_cell_length_a 4.4907
_cell_length_b 4.4907
_cell_length_c 4.4907
_cell_angle_alpha 60.00
_cell_angle_beta 60.00
_cell_angle_gamma 60.00
loop_
_symmetry_equiv_pos_as_xyz
'x,y,z'
loop_
_atom_site_label
_atom_site_type_symbol
_atom_site_fract_x
_atom_site_fract_y
_atom_site_fract_z
_atom_site_occupancy
Li1 Li 0.0000 0.0000 0.0000 1
Cu1 Cu 0.2500 0.2500 0.2500 1
Cu2 Cu 0.5000 0.5000 0.5000 1
Pb1 Pb 0.7500 0.7500 0.7500 1
# * DOS at the Fermi energy: 0.649 states/eV/atom
# * ΔH_f (0 K): 0.03 eV/atom

Number 1: mass density 10.4 Mg/m³. Number 2: mass density 2.7 Mg/m³. Number 3: mass density 5.5 Mg/m³. Number 4: mass density 4.3 Mg/m³. Number 5: mass density 3.9 Mg/m³. Number 6: mass density 8.6 Mg/m³. Number 7: mass density 12.6 Mg/m³. Number 8: mass density 5.3 Mg/m³. Number 9: mass density 5.9 Mg/m³. Number 10: mass density 8.8 Mg/m³.